# 1
{
  "formula": "Pa2WO8",
  "functional": "PBE+U",
  "state": "relaxed",
  "lattice_angstrom": [[4.4219, -0.5345, -0.5612], [-2.7991, 5.7395, -0.3759], [-0.9374, 0.6014, 6.8483]],
  "species": ["O", "O", "O", "O", "O", "O", "O", "O", "W", "Pa", "Pa"],
  "frac_coords": [[0.3627, 0.6501, 0.9816], [0.6541, 0.1056, 0.7541], [0.9900, 0.1470, 0.1748], [0.0100, 0.8530, 0.8252], [0.7357, 0.5409, 0.4030], [0.3459, 0.8944, 0.2459], [0.6373, 0.3499, 0.0184], [0.2643, 0.4591, 0.5970], [0.5000, 0.0000, 0.0000], [0.1885, 0.5172, 0.2802], [0.8115, 0.4828, 0.7198]],
  "energy_ev_per_fu": -97.1,
  "sg": "No. 2"
}

---

# 2
{
  "formula": "PaWO4",
  "functional": "PBE+U",
  "state": "relaxed",
  "lattice_angstrom": [[-4.2480, 0.3697, -0.7956], [0.5183, -2.1163, -3.7508], [1.0221, -3.6132, 4.6882]],
  "species": ["O", "O", "O", "O", "Pa", "W"],
  "frac_coords": [[0.0391, 0.5391, 0.0782], [0.7099, 0.7099, 0.4199], [0.2901, 0.2901, 0.5801], [0.4609, 0.9609, 0.9218], [0.5000, 0.5000, 0.0000], [0.2500, 0.7500, 0.5000]],
  "energy_ev_per_fu": -52.8,
  "sg": "No. 119"
}

---

# 3
{
  "formula": "PaZn2WO8",
  "functional": "PBE+U",
  "state": "relaxed",
  "lattice_angstrom": [[-4.0060, 2.3902, 1.1204], [-2.4054, -4.0576, -0.8647], [0.7082, -1.7595, 6.2861]],
  "species": ["Zn", "Zn", "O", "O", "O", "O", "O", "O", "O", "O", "Pa", "W"],
  "frac_coords": [[0.5000, 0.5000, 0.7641], [0.5000, 0.5000, 0.2359], [0.1868, 0.8124, 0.2242], [0.7080, 0.7087, 0.0000], [0.1869, 0.8124, 0.7758], [0.3108, 0.3102, 0.5000], [0.8132, 0.1876, 0.7758], [0.6892, 0.6898, 0.5000], [0.8131, 0.1876, 0.2242], [0.2920, 0.2913, 0.0000], [0.0000, 0.0000, 0.5000], [0.0000, 0.0000, 0.0000]],
  "energy_ev_per_fu": -83.7,
  "sg": "No. 65"
}